Entry 1:
# PBE-GGA Pm6Rh2CBr3, optimized geometry
data_Pm6Rh2CBr3
_space_group_name_H-M_alt 'C 1 2/m 1'
_space_group_IT_number 12
_cell_length_a 7.0075
_cell_length_b 12.1313
_cell_length_c 7.9484
_cell_angle_alpha 90.00
_cell_angle_beta 106.79
_cell_angle_gamma 90.00
loop_
_space_group_symop_operation_xyz
'x,y,z'
'-x,-y,-z'
'-x,y,-z'
'x,-y,z'
'x+1/2,y+1/2,z'
'-x+1/2,-y+1/2,-z'
'-x+1/2,y+1/2,-z'
'x+1/2,-y+1/2,z'
loop_
_atom_site_label
_atom_site_type_symbol
_atom_site_fract_x
_atom_site_fract_y
_atom_site_fract_z
Pm1 Pm 0.2157 0.1551 0.1868
Pm2 Pm 0.2488 0.5000 0.1875
Rh1 Rh 0.0000 0.3327 0.0000
C1 C 0.0000 0.0000 0.0000
Br1 Br 0.0000 0.1622 0.5000
Br2 Br 0.0000 0.5000 0.5000
# Formation energy from raw total energies: -0.958 eV per atom
# Crystal system: monoclinic

---

Entry 2:
# PBE-GGA Pm8Rh3CBr3, optimized geometry
data_Pm8Rh3CBr3
_space_group_name_H-M_alt 'C 1 2/m 1'
_space_group_IT_number 12
_cell_length_a 14.0967
_cell_length_b 8.1433
_cell_length_c 8.9498
_cell_angle_alpha 90.00
_cell_angle_beta 121.71
_cell_angle_gamma 90.00
loop_
_space_group_symop_operation_xyz
'x,y,z'
'-x,-y,-z'
'-x,y,-z'
'x,-y,z'
'x+1/2,y+1/2,z'
'-x+1/2,-y+1/2,-z'
'-x+1/2,y+1/2,-z'
'x+1/2,-y+1/2,z'
loop_
_atom_site_label
_atom_site_type_symbol
_atom_site_fract_x
_atom_site_fract_y
_atom_site_fract_z
Pm1 Pm 0.0165 0.2338 0.3156
Pm2 Pm 0.2176 0.0000 0.6846
Pm3 Pm 0.2336 0.5000 0.7005
Rh1 Rh 0.0000 0.5000 0.5000
Rh2 Rh 0.2500 0.2500 0.5000
C1 C 0.0000 0.0000 0.5000
Br1 Br 0.0000 0.0000 0.0000
Br2 Br 0.2500 0.2500 0.0000
# Formation energy from raw total energies: -0.817 eV per atom
# Crystal system: monoclinic

---

Entry 3:
# PBE-GGA Pm8Rh3CBr4, optimized geometry
data_Pm8Rh3CBr4
_space_group_name_H-M_alt 'R -3 m'
_space_group_IT_number 166
_space_group_name_Hall '-R 3 2"'
_cell_length_a 8.1085
_cell_length_b 8.1085
_cell_length_c 23.0675
_cell_angle_alpha 90.00
_cell_angle_beta 90.00
_cell_angle_gamma 120.00
loop_
_atom_site_label
_atom_site_type_symbol
_atom_site_fract_x
_atom_site_fract_y
_atom_site_fract_z
Pm1 Pm 0.0000 0.0000 0.2337
Pm2 Pm 0.0187 0.5093 0.2283
Rh1 Rh 0.0000 0.5000 0.5000
C1 C 0.0000 0.0000 0.5000
Br1 Br 0.0000 0.0000 0.0000
Br2 Br 0.0000 0.5000 0.0000
# Formation energy from raw total energies: -0.974 eV per atom
# Crystal system: trigonal

---

Entry 4:
# PBE-GGA Pm8Ru3CBr3, optimized geometry
data_Pm8Ru3CBr3
_space_group_name_H-M_alt 'C 1 2/m 1'
_space_group_IT_number 12
_cell_length_a 13.9823
_cell_length_b 8.0693
_cell_length_c 9.0122
_cell_angle_alpha 90.00
_cell_angle_beta 121.20
_cell_angle_gamma 90.00
loop_
_space_group_symop_operation_xyz
'x,y,z'
'-x,-y,-z'
'-x,y,-z'
'x,-y,z'
'x+1/2,y+1/2,z'
'-x+1/2,-y+1/2,-z'
'-x+1/2,y+1/2,-z'
'x+1/2,-y+1/2,z'
loop_
_atom_site_label
_atom_site_type_symbol
_atom_site_fract_x
_atom_site_fract_y
_atom_site_fract_z
Pm1 Pm 0.0183 0.2364 0.3192
Pm2 Pm 0.2180 0.0000 0.6809
Pm3 Pm 0.2355 0.5000 0.7059
Ru1 Ru 0.0000 0.5000 0.5000
Ru2 Ru 0.2500 0.2500 0.5000
C1 C 0.0000 0.0000 0.5000
Br1 Br 0.0000 0.0000 0.0000
Br2 Br 0.2500 0.2500 0.0000
# Formation energy from raw total energies: -0.618 eV per atom
# Crystal system: monoclinic

---

Entry 5:
# PBE-GGA Pm6Ru2CBr3, optimized geometry
data_Pm6Ru2CBr3
_space_group_name_H-M_alt 'C 1 2/m 1'
_space_group_IT_number 12
_cell_length_a 6.9666
_cell_length_b 12.0551
_cell_length_c 7.9730
_cell_angle_alpha 90.00
_cell_angle_beta 106.89
_cell_angle_gamma 90.00
loop_
_space_group_symop_operation_xyz
'x,y,z'
'-x,-y,-z'
'-x,y,-z'
'x,-y,z'
'x+1/2,y+1/2,z'
'-x+1/2,-y+1/2,-z'
'-x+1/2,y+1/2,-z'
'x+1/2,-y+1/2,z'
loop_
_atom_site_label
_atom_site_type_symbol
_atom_site_fract_x
_atom_site_fract_y
_atom_site_fract_z
Pm1 Pm 0.2177 0.1563 0.1871
Pm2 Pm 0.2475 0.5000 0.1869
Ru1 Ru 0.0000 0.3325 0.0000
C1 C 0.0000 0.0000 0.0000
Br1 Br 0.0000 0.1644 0.5000
Br2 Br 0.0000 0.5000 0.5000
# Formation energy from raw total energies: -0.787 eV per atom
# Crystal system: monoclinic

---

Entry 6:
# PBE-GGA Pm4RuCBr2, optimized geometry
data_Pm4RuCBr2
_space_group_name_H-M_alt 'P 1 2/m 1'
_space_group_IT_number 10
_cell_length_a 6.9681
_cell_length_b 3.9194
_cell_length_c 7.8499
_cell_angle_alpha 90.00
_cell_angle_beta 105.47
_cell_angle_gamma 90.00
loop_
_space_group_symop_operation_xyz
'x,y,z'
'-x,-y,-z'
'-x,y,-z'
'x,-y,z'
loop_
_atom_site_label
_atom_site_type_symbol
_atom_site_fract_x
_atom_site_fract_y
_atom_site_fract_z
Pm1 Pm 0.2209 0.0000 0.1774
Pm2 Pm 0.2412 0.5000 0.8083
Ru1 Ru 0.5000 0.0000 0.0000
C1 C 0.0000 0.5000 0.0000
Br1 Br 0.0000 0.0000 0.5000
Br2 Br 0.5000 0.5000 0.5000
# Formation energy from raw total energies: -0.801 eV per atom
# Crystal system: monoclinic

---

Entry 7:
# PBE-GGA Pm4CS2Br, optimized geometry
data_Pm4CS2Br
_space_group_name_H-M_alt 'P 1 2/m 1'
_space_group_IT_number 10
_cell_length_a 6.8229
_cell_length_b 3.9465
_cell_length_c 7.2569
_cell_angle_alpha 90.00
_cell_angle_beta 108.48
_cell_angle_gamma 90.00
loop_
_space_group_symop_operation_xyz
'x,y,z'
'-x,-y,-z'
'-x,y,-z'
'x,-y,z'
loop_
_atom_site_label
_atom_site_type_symbol
_atom_site_fract_x
_atom_site_fract_y
_atom_site_fract_z
Pm1 Pm 0.2253 0.0000 0.2087
Pm2 Pm 0.2488 0.5000 0.7932
C1 C 0.0000 0.5000 0.0000
S1 S 0.5000 0.0000 0.0000
S2 S 0.5000 0.5000 0.5000
Br1 Br 0.0000 0.0000 0.5000
# Formation energy from raw total energies: -1.378 eV per atom
# Crystal system: monoclinic

---

Entry 8:
# PBE-GGA Pm4CSBr2, optimized geometry
data_Pm4CSBr2
_space_group_name_H-M_alt 'P 1 2/m 1'
_space_group_IT_number 10
_cell_length_a 6.9633
_cell_length_b 3.9191
_cell_length_c 7.5534
_cell_angle_alpha 90.00
_cell_angle_beta 107.39
_cell_angle_gamma 90.00
loop_
_space_group_symop_operation_xyz
'x,y,z'
'-x,-y,-z'
'-x,y,-z'
'x,-y,z'
loop_
_atom_site_label
_atom_site_type_symbol
_atom_site_fract_x
_atom_site_fract_y
_atom_site_fract_z
Pm1 Pm 0.2061 0.0000 0.1877
Pm2 Pm 0.2374 0.5000 0.8081
C1 C 0.0000 0.5000 0.0000
S1 S 0.5000 0.0000 0.0000
Br1 Br 0.0000 0.0000 0.5000
Br2 Br 0.5000 0.5000 0.5000
# Formation energy from raw total energies: -1.272 eV per atom
# Crystal system: monoclinic

---

Entry 9:
# PBE-GGA Pm6C3S2Br, optimized geometry
data_Pm6C3S2Br
_space_group_name_H-M_alt 'C 1 2/m 1'
_space_group_IT_number 12
_cell_length_a 17.4622
_cell_length_b 3.8451
_cell_length_c 8.0797
_cell_angle_alpha 90.00
_cell_angle_beta 107.20
_cell_angle_gamma 90.00
loop_
_space_group_symop_operation_xyz
'x,y,z'
'-x,-y,-z'
'-x,y,-z'
'x,-y,z'
'x+1/2,y+1/2,z'
'-x+1/2,-y+1/2,-z'
'-x+1/2,y+1/2,-z'
'x+1/2,-y+1/2,z'
loop_
_atom_site_label
_atom_site_type_symbol
_atom_site_fract_x
_atom_site_fract_y
_atom_site_fract_z
Pm1 Pm 0.0107 0.0000 0.2155
Pm2 Pm 0.1609 0.5000 0.1005
Pm3 Pm 0.1796 0.5000 0.5640
C1 C 0.0000 0.5000 0.0000
C2 C 0.1674 0.0000 0.3319
S1 S 0.1641 0.0000 0.8280
Br1 Br 0.0000 0.5000 0.5000
# Formation energy from raw total energies: -1.064 eV per atom
# Crystal system: monoclinic

---

Entry 10:
# PBE-GGA Pm6CS2Br3, optimized geometry
data_Pm6CS2Br3
_space_group_name_H-M_alt 'C 1 2/m 1'
_space_group_IT_number 12
_cell_length_a 18.5343
_cell_length_b 3.9891
_cell_length_c 8.5975
_cell_angle_alpha 90.00
_cell_angle_beta 108.96
_cell_angle_gamma 90.00
loop_
_space_group_symop_operation_xyz
'x,y,z'
'-x,-y,-z'
'-x,y,-z'
'x,-y,z'
'x+1/2,y+1/2,z'
'-x+1/2,-y+1/2,-z'
'-x+1/2,y+1/2,-z'
'x+1/2,-y+1/2,z'
loop_
_atom_site_label
_atom_site_type_symbol
_atom_site_fract_x
_atom_site_fract_y
_atom_site_fract_z
Pm1 Pm 0.0077 0.0000 0.2011
Pm2 Pm 0.1429 0.5000 0.0967
Pm3 Pm 0.1769 0.5000 0.5515
C1 C 0.0000 0.5000 0.0000
S1 S 0.1657 0.0000 0.3277
Br1 Br 0.0000 0.5000 0.5000
Br2 Br 0.1666 0.0000 0.8351
# Formation energy from raw total energies: -1.371 eV per atom
# Crystal system: monoclinic

---

Entry 11:
# PBE-GGA Pm8C3SBr3, optimized geometry
data_Pm8C3SBr3
_space_group_name_H-M_alt 'C 1 2/m 1'
_space_group_IT_number 12
_cell_length_a 13.4294
_cell_length_b 7.7421
_cell_length_c 8.3550
_cell_angle_alpha 90.00
_cell_angle_beta 122.44
_cell_angle_gamma 90.00
loop_
_space_group_symop_operation_xyz
'x,y,z'
'-x,-y,-z'
'-x,y,-z'
'x,-y,z'
'x+1/2,y+1/2,z'
'-x+1/2,-y+1/2,-z'
'-x+1/2,y+1/2,-z'
'x+1/2,-y+1/2,z'
loop_
_atom_site_label
_atom_site_type_symbol
_atom_site_fract_x
_atom_site_fract_y
_atom_site_fract_z
Pm1 Pm 0.0234 0.2304 0.3008
Pm2 Pm 0.2288 0.0000 0.6863
Pm3 Pm 0.2460 0.5000 0.6990
C1 C 0.0000 0.0000 0.5000
C2 C 0.2500 0.2500 0.5000
S1 S 0.0000 0.5000 0.5000
Br1 Br 0.0000 0.5000 0.0000
Br2 Br 0.2500 0.2500 0.0000
# Formation energy from raw total energies: -0.969 eV per atom
# Crystal system: monoclinic

---

Entry 12:
# PBE-GGA Pm6C2S3Br, optimized geometry
data_Pm6C2S3Br
_space_group_name_H-M_alt 'C 1 2/m 1'
_space_group_IT_number 12
_cell_length_a 17.2995
_cell_length_b 3.9049
_cell_length_c 8.1589
_cell_angle_alpha 90.00
_cell_angle_beta 102.09
_cell_angle_gamma 90.00
loop_
_space_group_symop_operation_xyz
'x,y,z'
'-x,-y,-z'
'-x,y,-z'
'x,-y,z'
'x+1/2,y+1/2,z'
'-x+1/2,-y+1/2,-z'
'-x+1/2,y+1/2,-z'
'x+1/2,-y+1/2,z'
loop_
_atom_site_label
_atom_site_type_symbol
_atom_site_fract_x
_atom_site_fract_y
_atom_site_fract_z
Pm1 Pm 0.0207 0.0000 0.2826
Pm2 Pm 0.1747 0.5000 0.5669
Pm3 Pm 0.1784 0.5000 0.1292
C1 C 0.1694 0.0000 0.3344
S1 S 0.0000 0.5000 0.5000
S2 S 0.1584 0.0000 0.8379
Br1 Br 0.0000 0.5000 0.0000
# Formation energy from raw total energies: -1.328 eV per atom
# Crystal system: monoclinic

---

Entry 13:
# PBE-GGA Pm8C3SBr4, optimized geometry
data_Pm8C3SBr4
_space_group_name_H-M_alt 'R -3 m'
_space_group_IT_number 166
_space_group_name_Hall '-R 3 2"'
_cell_length_a 7.7505
_cell_length_b 7.7505
_cell_length_c 21.9441
_cell_angle_alpha 90.00
_cell_angle_beta 90.00
_cell_angle_gamma 120.00
loop_
_atom_site_label
_atom_site_type_symbol
_atom_site_fract_x
_atom_site_fract_y
_atom_site_fract_z
Pm1 Pm 0.0000 0.0000 0.2276
Pm2 Pm 0.0217 0.5108 0.7713
C1 C 0.0000 0.5000 0.5000
S1 S 0.0000 0.0000 0.5000
Br1 Br 0.0000 0.0000 0.0000
Br2 Br 0.0000 0.5000 0.0000
# Formation energy from raw total energies: -1.096 eV per atom
# Crystal system: trigonal

---

Entry 14:
# PBE-GGA PmScCBr, optimized geometry
data_PmScCBr
_space_group_name_H-M_alt 'R 3 m'
_space_group_IT_number 160
_space_group_name_Hall 'R 3 -2"'
_cell_length_a 3.6086
_cell_length_b 3.6086
_cell_length_c 21.1589
_cell_angle_alpha 90.00
_cell_angle_beta 90.00
_cell_angle_gamma 120.00
loop_
_atom_site_label
_atom_site_type_symbol
_atom_site_fract_x
_atom_site_fract_y
_atom_site_fract_z
Pm1 Pm 0.0000 0.0000 0.0000
Sc1 Sc 0.0000 0.0000 0.7854
C1 C 0.0000 0.0000 0.4033
Br1 Br 0.0000 0.0000 0.2185
# Formation energy from raw total energies: -0.920 eV per atom
# Crystal system: trigonal

---

Entry 15:
# PBE-GGA Pm8C3SeBr4, optimized geometry
data_Pm8C3SeBr4
_space_group_name_H-M_alt 'R -3 m'
_space_group_IT_number 166
_space_group_name_Hall '-R 3 2"'
_cell_length_a 7.8385
_cell_length_b 7.8385
_cell_length_c 21.9123
_cell_angle_alpha 90.00
_cell_angle_beta 90.00
_cell_angle_gamma 120.00
loop_
_atom_site_label
_atom_site_type_symbol
_atom_site_fract_x
_atom_site_fract_y
_atom_site_fract_z
Pm1 Pm 0.0000 0.0000 0.2277
Pm2 Pm 0.0299 0.5150 0.7706
C1 C 0.0000 0.5000 0.5000
Se1 Se 0.0000 0.0000 0.5000
Br1 Br 0.0000 0.0000 0.0000
Br2 Br 0.0000 0.5000 0.0000
# Formation energy from raw total energies: -1.049 eV per atom
# Crystal system: trigonal

---

Entry 16:
# PBE-GGA Pm6C2SeBr3, optimized geometry
data_Pm6C2SeBr3
_space_group_name_H-M_alt 'C 1 2/m 1'
_space_group_IT_number 12
_cell_length_a 6.8414
_cell_length_b 11.8501
_cell_length_c 7.6498
_cell_angle_alpha 90.00
_cell_angle_beta 107.37
_cell_angle_gamma 90.00
loop_
_space_group_symop_operation_xyz
'x,y,z'
'-x,-y,-z'
'-x,y,-z'
'x,-y,z'
'x+1/2,y+1/2,z'
'-x+1/2,-y+1/2,-z'
'-x+1/2,y+1/2,-z'
'x+1/2,-y+1/2,z'
loop_
_atom_site_label
_atom_site_type_symbol
_atom_site_fract_x
_atom_site_fract_y
_atom_site_fract_z
Pm1 Pm 0.2000 0.0000 0.1871
Pm2 Pm 0.2440 0.3187 0.1876
C1 C 0.0000 0.1667 0.0000
Se1 Se 0.0000 0.5000 0.0000
Br1 Br 0.0000 0.0000 0.5000
Br2 Br 0.0000 0.3368 0.5000
# Formation energy from raw total energies: -1.106 eV per atom
# Crystal system: monoclinic

---

Entry 17:
# PBE-GGA Pm6C2Se3Br, optimized geometry
data_Pm6C2Se3Br
_space_group_name_H-M_alt 'C 1 2/m 1'
_space_group_IT_number 12
_cell_length_a 17.7531
_cell_length_b 3.9621
_cell_length_c 8.3514
_cell_angle_alpha 90.00
_cell_angle_beta 102.81
_cell_angle_gamma 90.00
loop_
_space_group_symop_operation_xyz
'x,y,z'
'-x,-y,-z'
'-x,y,-z'
'x,-y,z'
'x+1/2,y+1/2,z'
'-x+1/2,-y+1/2,-z'
'-x+1/2,y+1/2,-z'
'x+1/2,-y+1/2,z'
loop_
_atom_site_label
_atom_site_type_symbol
_atom_site_fract_x
_atom_site_fract_y
_atom_site_fract_z
Pm1 Pm 0.0264 0.0000 0.2783
Pm2 Pm 0.1770 0.5000 0.5624
Pm3 Pm 0.1782 0.5000 0.1360
C1 C 0.1708 0.0000 0.3357
Se1 Se 0.0000 0.5000 0.5000
Se2 Se 0.1567 0.0000 0.8379
Br1 Br 0.0000 0.5000 0.0000
# Formation energy from raw total energies: -1.239 eV per atom
# Crystal system: monoclinic

---

Entry 18:
# PBE-GGA Pm6SiC2Br3, optimized geometry
data_Pm6SiC2Br3
_space_group_name_H-M_alt 'C 1 2/m 1'
_space_group_IT_number 12
_cell_length_a 18.6595
_cell_length_b 3.9207
_cell_length_c 8.6857
_cell_angle_alpha 90.00
_cell_angle_beta 109.86
_cell_angle_gamma 90.00
loop_
_space_group_symop_operation_xyz
'x,y,z'
'-x,-y,-z'
'-x,y,-z'
'x,-y,z'
'x+1/2,y+1/2,z'
'-x+1/2,-y+1/2,-z'
'-x+1/2,y+1/2,-z'
'x+1/2,-y+1/2,z'
loop_
_atom_site_label
_atom_site_type_symbol
_atom_site_fract_x
_atom_site_fract_y
_atom_site_fract_z
Pm1 Pm 0.0264 0.0000 0.2492
Pm2 Pm 0.1653 0.5000 0.1420
Pm3 Pm 0.1834 0.5000 0.5501
Si1 Si 0.0000 0.5000 0.0000
C1 C 0.1707 0.0000 0.3391
Br1 Br 0.0000 0.5000 0.5000
Br2 Br 0.1643 0.0000 0.8306
# Formation energy from raw total energies: -0.939 eV per atom
# Crystal system: monoclinic

---

Entry 19:
# PBE-GGA Pm8SiC3Br4, optimized geometry
data_Pm8SiC3Br4
_space_group_name_H-M_alt 'R -3 m'
_space_group_IT_number 166
_space_group_name_Hall '-R 3 2"'
_cell_length_a 7.8239
_cell_length_b 7.8239
_cell_length_c 22.1293
_cell_angle_alpha 90.00
_cell_angle_beta 90.00
_cell_angle_gamma 120.00
loop_
_atom_site_label
_atom_site_type_symbol
_atom_site_fract_x
_atom_site_fract_y
_atom_site_fract_z
Pm1 Pm 0.0000 0.0000 0.2268
Pm2 Pm 0.0236 0.5118 0.7702
Si1 Si 0.0000 0.0000 0.5000
C1 C 0.0000 0.5000 0.5000
Br1 Br 0.0000 0.0000 0.0000
Br2 Br 0.0000 0.5000 0.0000
# Formation energy from raw total energies: -0.917 eV per atom
# Crystal system: trigonal

---

Entry 20:
# PBE-GGA Pm8Si3CBr4, optimized geometry
data_Pm8Si3CBr4
_space_group_name_H-M_alt 'R -3 m'
_space_group_IT_number 166
_space_group_name_Hall '-R 3 2"'
_cell_length_a 8.2680
_cell_length_b 8.2680
_cell_length_c 22.0416
_cell_angle_alpha 90.00
_cell_angle_beta 90.00
_cell_angle_gamma 120.00
loop_
_atom_site_label
_atom_site_type_symbol
_atom_site_fract_x
_atom_site_fract_y
_atom_site_fract_z
Pm1 Pm 0.0000 0.0000 0.2372
Pm2 Pm 0.0265 0.5133 0.2323
Si1 Si 0.0000 0.5000 0.5000
C1 C 0.0000 0.0000 0.5000
Br1 Br 0.0000 0.0000 0.0000
Br2 Br 0.0000 0.5000 0.0000
# Formation energy from raw total energies: -1.009 eV per atom
# Crystal system: trigonal